# NaHgAu PBE optimized geometry
data_NaHgAu
_symmetry_space_group_name_H-M 'P -1'
_symmetry_Int_Tables_number 2
_cell_length_a 3.720
_cell_length_b 6.226
_cell_length_c 7.220
_cell_angle_alpha 114.54
_cell_angle_beta 104.84
_cell_angle_gamma 90.22
loop_
_symmetry_equiv_pos_as_xyz
'x,y,z'
'-x,-y,-z'
loop_
_atom_site_label
_atom_site_type_symbol
_atom_site_fract_x
_atom_site_fract_y
_atom_site_fract_z
Na1 Na 0.163 0.160 0.326
Hg1 Hg 0.132 0.630 0.266
Au1 Au 0.499 0.775 0.999
# Energy above the lowest structure with this stoichiometry = 6.8 kJ/mol of atoms
# Magnetization = 0.00 Bohr magnetons per cell
# Calculated formation energy = -0.1897 eV/atom